# PrDySn2 | Alexandria via LeMat-Bulk | PBE-GGA | relaxed
data_PrDySn2
_cell_length_a 4.352
_cell_length_b 6.260
_cell_length_c 8.576
_cell_angle_alpha 90.00
_cell_angle_beta 90.00
_cell_angle_gamma 90.00
_space_group_name_H-M_alt 'P m c 21'
_space_group_IT_number 26
loop_
_space_group_symop_operation_xyz
'x,y,z'
'-x,-y,z+1/2'
'-x,y,z'
'x,-y,z+1/2'
loop_
_atom_site_label
_atom_site_type_symbol
_atom_site_fract_x
_atom_site_fract_y
_atom_site_fract_z
_atom_site_occupancy
Pr1 Pr 0.000 0.128 0.000 1
Dy1 Dy 0.500 0.373 0.635 1
Sn1 Sn 0.000 0.404 0.360 1
Sn2 Sn 0.500 0.095 0.275 1
# Formation energy = -17.0 kcal/mol of atoms
# VASP energy = -20.3 eV per formula unit